1.
! LiSc2CdH, optimized geometry, DFT PBE; values from VASP
&SYSTEM
  ibrav = 0, nat = 5, ntyp = 4
/
ATOMIC_SPECIES
Li 6.94 Li.upf
Sc 44.96 Sc.upf
Cd 112.41 Cd.upf
H 1.01 H.upf
CELL_PARAMETERS angstrom
4.410 0.000 0.000
0.000 4.410 0.000
0.000 0.000 4.485
ATOMIC_POSITIONS crystal
Li 0.000 0.000 0.000
Sc 0.000 0.500 0.500
Sc 0.500 0.000 0.500
Cd 0.500 0.500 0.000
H 0.500 0.500 0.500
! **DFT total energy**: -3.8578 eV per atom
! **Total magnetization**: 0.232 μB/atom
! **Theoretical density**: 4.0 g/cm3

2.
! Li2CdSiH, optimized geometry, DFT PBE; values from VASP
&SYSTEM
  ibrav = 0, nat = 5, ntyp = 4
/
ATOMIC_SPECIES
Li 6.94 Li.upf
Cd 112.41 Cd.upf
Si 28.09 Si.upf
H 1.01 H.upf
CELL_PARAMETERS angstrom
4.362 0.000 0.000
0.000 4.362 0.000
0.000 0.000 3.569
ATOMIC_POSITIONS crystal
Li 0.000 0.500 0.000
Li 0.500 0.000 0.000
Cd 0.000 0.000 0.500
Si 0.500 0.500 0.500
H 0.500 0.500 0.000
! **DFT total energy**: -2.7454 eV per atom
! **Total magnetization**: 0.000 μB/atom
! **Theoretical density**: 3.8 g/cm3

3.
! Li2CdSnH, optimized geometry, DFT PBE; values from VASP
&SYSTEM
  ibrav = 0, nat = 5, ntyp = 4
/
ATOMIC_SPECIES
Li 6.94 Li.upf
Cd 112.41 Cd.upf
Sn 118.71 Sn.upf
H 1.01 H.upf
CELL_PARAMETERS angstrom
4.334 0.000 0.000
0.000 4.334 0.000
0.000 0.000 4.447
ATOMIC_POSITIONS crystal
Li 0.000 0.500 0.000
Li 0.500 0.000 0.000
Cd 0.000 0.000 0.500
Sn 0.500 0.500 0.500
H 0.500 0.500 0.000
! **DFT total energy**: -2.5450 eV per atom
! **Total magnetization**: 0.000 μB/atom
! **Theoretical density**: 4.9 g/cm3

4.
! Li2CdSnH, optimized geometry, DFT PBE; values from VASP
&SYSTEM
  ibrav = 0, nat = 5, ntyp = 4
/
ATOMIC_SPECIES
Li 6.94 Li.upf
Cd 112.41 Cd.upf
Sn 118.71 Sn.upf
H 1.01 H.upf
CELL_PARAMETERS angstrom
4.511 0.000 0.000
0.000 4.511 0.000
0.000 0.000 3.981
ATOMIC_POSITIONS crystal
Li 0.000 0.500 0.000
Li 0.500 0.000 0.000
Cd 0.000 0.000 0.500
Sn 0.500 0.500 0.500
H 0.000 0.000 0.000
! **DFT total energy**: -2.6000 eV per atom
! **Total magnetization**: 0.000 μB/atom
! **Theoretical density**: 5.0 g/cm3